Density functional theory data (PBE-GGA) for a geometry-optimized PuUOsPd structure.

Unit cell a=6.8687 b=6.8687 c=6.8687 alpha=90.00 beta=90.00 gamma=90.00
Space group F-43m (No. 216)
Symmetry-distinct sites (fractional):
Pu 0.0000 0.0000 0.0000 [4 per cell]
U 0.0000 0.0000 0.5000 [4 per cell]
Os 0.2500 0.2500 0.7500 [4 per cell]
Pd 0.2500 0.2500 0.2500 [4 per cell]

Properties
distance to the lowest polymorph of the same formula	0.148	eV/atom
crystal system	cubic
ΔH_f (0 K)	-117	meV/atom